# Pm5Ag2Os2

Crystalline Pm5Ag2Os2 at its relaxed geometry (PBE, Alexandria via LeMat-Bulk).

Unit cell a=8.854 b=8.854 c=7.716 alpha=90.00 beta=90.00 gamma=51.71
Element x y z (fractional)
1 Pm 0.000 0.000 0.000
2 Pm 0.057 0.690 0.683
3 Pm 0.190 0.557 0.183
4 Pm 0.310 0.943 0.683
5 Pm 0.443 0.810 0.183
6 Pm 0.500 0.500 0.500
7 Pm 0.557 0.190 0.817
8 Pm 0.690 0.057 0.317
9 Pm 0.810 0.443 0.817
10 Pm 0.943 0.310 0.317
11 Ag 0.218 0.218 0.000
12 Ag 0.282 0.282 0.500
13 Ag 0.718 0.718 0.500
14 Ag 0.782 0.782 0.000
15 Os 0.115 0.885 0.386
16 Os 0.385 0.615 0.886
17 Os 0.615 0.385 0.114
18 Os 0.885 0.115 0.614


# Pm6Ag5Os

Crystalline Pm6Ag5Os at its relaxed geometry (PBE, Alexandria via LeMat-Bulk).

Unit cell a=8.241 b=8.241 c=7.412 alpha=90.00 beta=90.00 gamma=143.19
Element x y z (fractional)
1 Pm 0.000 0.000 0.231
2 Pm 0.000 0.000 0.769
3 Pm 0.344 0.656 0.241
4 Pm 0.344 0.656 0.759
5 Pm 0.656 0.344 0.241
6 Pm 0.656 0.344 0.759
7 Ag 0.167 0.833 0.500
8 Ag 0.179 0.821 0.000
9 Ag 0.500 0.500 0.500
10 Ag 0.821 0.179 0.000
11 Ag 0.833 0.167 0.500
12 Os 0.500 0.500 0.000


# Pm2AgOs

Crystalline Pm2AgOs at its relaxed geometry (PBE, Alexandria via LeMat-Bulk).

Output
Polymorph energy (0 for the lowest one), eV/atom: 0.037

Unit cell a=5.075 b=5.075 c=5.075 alpha=60.00 beta=60.00 gamma=60.00
Element x y z (fractional)
1 Pm 0.250 0.250 0.250
2 Pm 0.750 0.750 0.750
3 Ag 0.000 0.000 0.000
4 Os 0.500 0.500 0.500


| no. | size of the total moment (Bohr magnetons per cell) | formation energy (eV/atom) |
| --- | --- | --- |
| 1 | 0.000 | -0.161 |
| 2 | 0.000 | -0.246 |
| 3 | 0.000 | -0.137 |